KNd5Te6 after structural relaxation. Source: the Alexandria database, functional PBE-GGA.

Values from the calculation:
Formation energy without anion corrections = -1.40 eV/atom
Total moment = 0.0 Bohr magnetons per cell

Lattice parameters (Å, degrees): 7.9202 7.8588 7.8551 59.98 80.46 70.65
Atoms (fractional coordinates):
K  0.0000  0.0000  0.0000
Te  0.7426  0.0854  0.3421
Te  0.2574  0.5725  0.3421
Te  0.2480  0.2575  0.0000
Te  0.7520  0.7425  0.0000
Te  0.7426  0.4275  0.6579
Te  0.2574  0.9146  0.6579
Nd  0.5000  0.1593  0.6813
Nd  0.0000  0.3339  0.3323
Nd  0.5000  0.5000  0.0000
Nd  0.0000  0.6661  0.6677
Nd  0.5000  0.8407  0.3187